A plane-wave DFT calculation with meta-GGA SCAN was carried out for a PBEsol-optimized structure of YCrSn2Te.

Output
Theoretical density = 4.61 Mg/m³
Calculated total energy = -30.4948 eV per atom
Formation energy without anion corrections = 54.9 kJ/mol of atoms

The structure in CIF format:
```
data_YCrSn2Te
_space_group_name_H-M_alt 'P 4/m m m'
_space_group_IT_number 123
_space_group_name_Hall '-P 4 2'
_cell_length_a 5.703
_cell_length_b 5.703
_cell_length_c 5.599
_cell_angle_alpha 90.00
_cell_angle_beta 90.00
_cell_angle_gamma 90.00
loop_
_atom_site_label
_atom_site_type_symbol
_atom_site_fract_x
_atom_site_fract_y
_atom_site_fract_z
Y1 Y 0.000 0.000 0.000
Cr1 Cr 0.500 0.500 0.500
Sn1 Sn 0.000 0.500 0.000
Te1 Te 0.000 0.000 0.500
```

---

A plane-wave DFT calculation with meta-GGA SCAN was carried out for a PBEsol-optimized structure of TiCr3Sn.

Output
Theoretical density = 6.33 Mg/m³
Calculated total energy = -20.2518 eV per atom

The structure in CIF format:
```
data_TiCr3Sn
_space_group_name_H-M_alt 'P m -3 m'
_space_group_IT_number 221
_space_group_name_Hall '-P 4 2 3'
_cell_length_a 4.390
_cell_length_b 4.390
_cell_length_c 4.390
_cell_angle_alpha 90.00
_cell_angle_beta 90.00
_cell_angle_gamma 90.00
loop_
_atom_site_label
_atom_site_type_symbol
_atom_site_fract_x
_atom_site_fract_y
_atom_site_fract_z
Ti1 Ti 0.000 0.000 0.000
Cr1 Cr 0.000 0.000 0.500
Sn1 Sn 0.500 0.500 0.500
```

---

| no. | total magnetic moment (μB/f.u.) |
| --- | --- |
| 1 | 5.04 |
| 2 | 7.67 |